DFT (PBE with a Hubbard U) results for an optimized crystal structure of ZrMoOF2.

- Calculated volume: 80.20 Å³/cell
- Distance to the lowest polymorph of the same formula: 0 meV/atom

Cell: 4.4104 4.4104 4.1228 Å, 90.00 90.00 90.00°
Space group P4/mmm (No. 123)
Symmetry-distinct sites (fractional):
Zr1 0.0000 0.0000 0.0000 (multiplicity 1)
Mo1 0.5000 0.5000 0.5000 (multiplicity 1)
O1 0.0000 0.0000 0.5000 (multiplicity 1)
F1 0.0000 0.5000 0.0000 (multiplicity 2)